In2TcAs: optimized geometry, GGA-PBE.

Cell: 9.6369 9.6369 9.6369 Å, 18.65 18.65 18.65°
With the nearest neighbours (Å) after each atom.
Sites, in units of the cell vectors:
Tc (0.2500, 0.2500, 0.2500)  6 In 2.82, 6 Tc 3.12
As (0.7500, 0.7500, 0.7500)  6 As 3.12, 6 In 3.14
In (0.5070, 0.5070, 0.5070)  3 Tc 2.82, 6 In 3.12, 3 As 3.14
In (0.9930, 0.9930, 0.9930)  3 Tc 2.82, 6 In 3.12, 3 As 3.14

Properties
size of the total moment = 0.00 μB/f.u.
space-group type = R-3m
crystal system = trigonal
energy of formation from the pure elements = 0.3907 eV per atom

AcMg3Cd3: optimized geometry, GGA-PBE.

Cell: 4.9590 7.4106 10.5916 Å, 112.30 90.00 90.00°
With the nearest neighbours (Å) after each atom.
Sites, in units of the cell vectors:
Cd (0.7500, 0.7828, 0.5472)  4 Mg 2.87-2.99, 3 Cd 2.95-2.97
Cd (0.2500, 0.0151, 0.6452)  2 Mg 2.83-2.92, 3 Cd 2.95-2.97
Cd (0.2500, 0.2172, 0.4528)  4 Mg 2.87-2.99, 3 Cd 2.95-2.97
Cd (0.7500, 0.9849, 0.3548)  2 Mg 2.83-2.92, 3 Cd 2.95-2.97
Cd (0.2500, 0.6913, 0.9163)  5 Mg 2.90-3.21
Cd (0.7500, 0.3087, 0.0837)  5 Mg 2.90-3.21
Mg (0.2500, 0.6232, 0.6249)  5 Cd 2.83-2.99
Mg (0.2500, 0.2687, 0.9338)  4 Cd 2.90-3.21, 1 Mg 3.15
Mg (0.7500, 0.7313, 0.0662)  4 Cd 2.90-3.21, 1 Mg 3.15
Mg (0.7500, 0.3768, 0.3751)  5 Cd 2.83-2.99
Mg (0.2500, 0.0790, 0.1544)  4 Cd 2.93-3.25, 1 Mg 3.15
Mg (0.7500, 0.9210, 0.8456)  4 Cd 2.93-3.25, 1 Mg 3.15
Ac (0.2500, 0.6465, 0.2819)  7 Cd 3.40-3.78, 6 Mg 3.55-3.70
Ac (0.7500, 0.3535, 0.7181)  7 Cd 3.40-3.78, 6 Mg 3.55-3.70

Properties
size of the total moment = 0.00 μB/f.u.
space-group type = P2_1/m
crystal system = monoclinic
energy of formation from the pure elements = -0.2031 eV per atom

Fe5Se3: optimized geometry, GGA-PBE.

Cell: 7.3223 7.3765 6.8974 Å, 106.28 101.43 128.15°
With the nearest neighbours (Å) after each atom.
Sites, in units of the cell vectors:
Fe (0.3387, 0.8734, 0.4860)  3 Se 2.49-2.72, 7 Fe 2.55-2.74
Fe (0.4848, 0.8649, 0.1790)  4 Se 2.39-2.61, 2 Fe 2.49-2.56
Fe (0.2901, 0.5457, 0.6570)  3 Fe 2.41-2.64, 5 Se 2.49-2.60
Fe (0.6581, 0.3615, 0.8146)  4 Fe 2.48-2.64, 4 Se 2.48-2.71
Fe (0.8241, 0.6295, 0.2963)  4 Se 2.45-2.69, 3 Fe 2.55-2.74
Fe (0.1515, 0.2613, 0.2255)  5 Se 2.42-2.56, 1 Fe 2.64
Fe (0.5720, 0.2913, 0.4211)  3 Se 2.40-2.58, 6 Fe 2.48-2.69
Fe (0.1153, 0.8315, 0.1135)  4 Se 2.48-2.62, 6 Fe 2.49-2.58
Fe (0.6715, 0.0297, 0.8712)  3 Fe 2.41-2.64, 4 Se 2.46-2.63
Fe (0.0867, 0.7088, 0.7204)  4 Fe 2.46-2.65, 3 Se 2.49-2.53
Se (0.5868, 0.7496, 0.4822)  6 Fe 2.49-2.76
Se (0.3433, 0.1822, 0.0108)  5 Fe 2.42-2.58
Se (0.0485, 0.4309, 0.8849)  6 Fe 2.39-2.60
Se (0.7164, 0.7650, 0.0016)  7 Fe 2.53-2.69
Se (0.2132, 0.1263, 0.5171)  7 Fe 2.45-2.62
Se (0.8922, 0.3483, 0.3187)  7 Fe 2.40-2.63

Properties
size of the total moment = 12.99 μB/f.u.
space-group type = P1
crystal system = triclinic
uncorrected formation energy = 0.049 eV per atom
offset from the most stable computed form = 0 meV/atom

B3PPd: optimized geometry, GGA-PBE.

Cell: 4.0989 4.0989 4.0989 Å, 90.00 90.00 90.00°
With the nearest neighbours (Å) after each atom.
Sites, in units of the cell vectors:
B (0.0000, 0.5000, 0.0000)  2 Pd 2.05
B (0.0000, 0.0000, 0.5000)  2 Pd 2.05
B (0.5000, 0.0000, 0.0000)  2 Pd 2.05
P (0.5000, 0.5000, 0.5000)  12 B 2.90
Pd (0.0000, 0.0000, 0.0000)  6 B 2.05

Properties
size of the total moment = 0.00 μB/f.u.
space-group type = Pm-3m
crystal system = cubic
energy of formation from the pure elements = 1.6556 eV per atom
offset from the most stable computed form = 277 meV/atom

K3Tl9Pd2: optimized geometry, GGA-PBE.

Cell: 4.9413 9.7394 9.7394 Å, 76.93 75.30 75.30°
With the nearest neighbours (Å) after each atom.
Sites, in units of the cell vectors:
Tl (0.0000, 0.5000, 0.5000)  4 Tl 3.12
Tl (0.8863, 0.3943, 0.8332)  2 Pd 2.97, 5 Tl 3.12-3.28
Tl (0.3273, 0.0333, 0.3121)  1 Pd 2.90, 3 Tl 3.12-3.23
Tl (0.6727, 0.6879, 0.9667)  1 Pd 2.90, 3 Tl 3.12-3.23
Tl (0.3273, 0.3121, 0.0333)  1 Pd 2.90, 3 Tl 3.12-3.23
Tl (0.1137, 0.6057, 0.1668)  2 Pd 2.97, 5 Tl 3.12-3.28
Tl (0.8863, 0.8332, 0.3943)  2 Pd 2.97, 5 Tl 3.12-3.28
Tl (0.6727, 0.9667, 0.6879)  1 Pd 2.90, 3 Tl 3.12-3.23
Tl (0.1137, 0.1668, 0.6057)  2 Pd 2.97, 5 Tl 3.12-3.28
K (0.3202, 0.6798, 0.6798)  10 Tl 3.58-3.75, 2 Pd 3.88
K (0.0000, 0.0000, 0.0000)  12 Tl 3.77-3.89, 4 Pd 4.02
K (0.6798, 0.3202, 0.3202)  10 Tl 3.58-3.75, 2 Pd 3.88
Pd (0.5000, 0.7386, 0.2614)  6 Tl 2.90-2.97
Pd (0.5000, 0.2614, 0.7386)  6 Tl 2.90-2.97

Properties
size of the total moment = 0.00 μB/f.u.
space-group type = Immm
crystal system = orthorhombic
energy of formation from the pure elements = -0.0907 eV per atom

NpInPt: optimized geometry, GGA-PBE.

Cell: 4.9682 4.9682 5.7511 Å, 90.00 90.00 119.98°
With the nearest neighbours (Å) after each atom.
Sites, in units of the cell vectors:
Pt (0.6668, 0.8332, 0.2500)  5 In 2.87-2.88, 6 Np 3.21
Pt (0.3332, 0.1668, 0.7500)  5 In 2.87-2.88, 6 Np 3.21
Np (0.0000, 0.5000, 0.5000)  2 Np 2.88, 6 Pt 3.21, 6 In 3.21
Np (0.0000, 0.5000, 0.0000)  2 Np 2.88, 6 Pt 3.21, 6 In 3.21
In (0.6666, 0.8334, 0.7500)  5 Pt 2.87-2.88, 6 Np 3.21
In (0.3334, 0.1666, 0.2500)  5 Pt 2.87-2.88, 6 Np 3.21

Properties
size of the total moment = 4.00 μB/f.u.
space-group type = P6_3/mmc
crystal system = hexagonal
energy of formation from the pure elements = -0.4365 eV per atom

Na2Er2B2O7: optimized geometry, GGA-PBE.

Cell: 6.2268 10.2724 10.6127 Å, 117.69 90.00 90.00°
With the nearest neighbours (Å) after each atom.
Sites, in units of the cell vectors:
O (0.0438, 0.4146, 0.8530)  1 B 1.39
O (0.7643, 0.8671, 0.1643)  1 B 1.42
O (0.3330, 0.4455, 0.6033)  1 B 1.38
O (0.1474, 0.6680, 0.6359)  1 B 1.37
O (0.7357, 0.3671, 0.1643)  1 B 1.42
O (0.1670, 0.9455, 0.6033)  1 B 1.38
O (0.8758, 0.0975, 0.9752)  4 Er 2.24-2.33
O (0.3758, 0.4025, 0.0248)  4 Er 2.24-2.33
O (0.6242, 0.5975, 0.9752)  4 Er 2.24-2.33
O (0.2437, 0.2293, 0.1481)  1 B 1.40
O (0.7489, 0.8674, 0.6861)  1 B 1.36
O (0.2563, 0.7293, 0.1481)  1 B 1.40
O (0.2357, 0.1329, 0.8357)  1 B 1.42
O (0.4562, 0.9146, 0.8530)  1 B 1.39
O (0.7511, 0.3674, 0.6861)  1 B 1.36
O (0.3526, 0.1680, 0.6359)  1 B 1.37
O (0.2643, 0.6329, 0.8357)  1 B 1.42
O (0.7563, 0.7707, 0.8519)  1 B 1.40
O (0.8330, 0.0545, 0.3967)  1 B 1.38
O (0.2511, 0.1326, 0.3139)  1 B 1.36
O (0.6474, 0.8320, 0.3641)  1 B 1.37
O (0.2489, 0.6326, 0.3139)  1 B 1.36
O (0.7437, 0.2707, 0.8519)  1 B 1.40
O (0.9562, 0.5854, 0.1470)  1 B 1.39
O (0.6670, 0.5545, 0.3967)  1 B 1.38
O (0.1242, 0.9025, 0.0248)  4 Er 2.24-2.33
O (0.5438, 0.0854, 0.1470)  1 B 1.39
O (0.8526, 0.3320, 0.3641)  1 B 1.37
B (0.7525, 0.4174, 0.3131)  3 O 1.37-1.42
B (0.3468, 0.1474, 0.2057)  3 O 1.36-1.40
B (0.7475, 0.9174, 0.3131)  3 O 1.37-1.42
B (0.2525, 0.0826, 0.6869)  3 O 1.37-1.42
B (0.6532, 0.8526, 0.7943)  3 O 1.36-1.40
B (0.1532, 0.6474, 0.2057)  3 O 1.36-1.40
B (0.2475, 0.5826, 0.6869)  3 O 1.37-1.42
B (0.8468, 0.3526, 0.7943)  3 O 1.36-1.40
Na (0.5570, 0.2395, 0.4764)  6 O 2.33-2.60
Na (0.7673, 0.5498, 0.6124)  5 O 2.34-2.62
Na (0.2673, 0.9502, 0.3876)  5 O 2.34-2.62
Na (0.9430, 0.7395, 0.4764)  6 O 2.33-2.60
Na (0.7327, 0.0498, 0.6124)  5 O 2.34-2.62
Na (0.4430, 0.7605, 0.5236)  6 O 2.33-2.60
Na (0.2327, 0.4502, 0.3876)  5 O 2.34-2.62
Na (0.0570, 0.2605, 0.5236)  6 O 2.33-2.60
Er (0.9589, 0.6838, 0.9853)  8 O 2.25-2.51
Er (0.4179, 0.4159, 0.8192)  7 O 2.24-2.50
Er (0.0821, 0.9159, 0.8192)  7 O 2.24-2.50
Er (0.9179, 0.0841, 0.1808)  7 O 2.24-2.50
Er (0.4589, 0.8162, 0.0147)  8 O 2.25-2.51
Er (0.5411, 0.1838, 0.9853)  8 O 2.25-2.51
Er (0.5821, 0.5841, 0.1808)  7 O 2.24-2.50
Er (0.0411, 0.3162, 0.0147)  8 O 2.25-2.51

Properties
size of the total moment = 0.00 μB/f.u.
space-group type = P2_1/c
crystal system = monoclinic
uncorrected formation energy = -2.805 eV per atom

TaZnIn2: optimized geometry, GGA-PBE.

Cell: 5.2942 5.2942 3.0266 Å, 90.00 90.00 112.16°
With the nearest neighbours (Å) after each atom.
Sites, in units of the cell vectors:
In (0.0000, 0.0000, 0.0000)  4 In 2.95-3.03, 4 Zn 3.05, 4 Ta 3.05
In (0.5000, 0.5000, 0.0000)  4 In 2.95-3.03, 4 Ta 3.05, 4 Zn 3.05
Ta (0.5000, 0.0000, 0.5000)  2 Zn 2.95, 2 Ta 3.03, 8 In 3.05
Zn (0.0000, 0.5000, 0.5000)  2 Ta 2.95, 2 Zn 3.03, 8 In 3.05

Properties
size of the total moment = 0.00 μB/f.u.
space-group type = Cmmm
crystal system = orthorhombic
energy of formation from the pure elements = 0.1878 eV per atom

no.,E_tot (eV per atom)
1,-4.7324
2,-1.8656
3,-6.5465
4,-4.4714
5,-2.5889
6,-7.6765
7,-7.4073
8,-4.4630